No. 1
The following is a GGA-PBE calculation of a relaxed Pm3Pt3Pb crystal, from the Alexandria database.

Calculated values
As for the space-group type: P6_3/m. For the total energy, the calculation gives -5.9113 eV/atom. The calculation puts the density at 10.17 g cm⁻³. The formation energy comes out at -0.76 eV per atom.

Cell: 5.7326 8.9870 8.9870 Å, 120.00 90.00 90.00°
Closest atoms and distances in Å follow each position.
Fractional coordinates of all 14 atoms:
Pm  0.7500  0.7019  0.6798  5 Pt 2.89-3.09
Pm  0.7500  0.3202  0.0221  5 Pt 2.89-3.09
Pm  0.7500  0.9779  0.2981  5 Pt 2.89-3.09
Pm  0.2500  0.2981  0.3202  5 Pt 2.89-3.09
Pm  0.2500  0.6798  0.9779  5 Pt 2.89-3.09
Pm  0.2500  0.0221  0.7019  5 Pt 2.89-3.09
Pt  0.2500  0.6604  0.6430  1 Pb 2.81, 5 Pm 2.89-3.09
Pt  0.2500  0.3570  0.0175  1 Pb 2.81, 5 Pm 2.89-3.09
Pt  0.2500  0.9825  0.3396  1 Pb 2.81, 5 Pm 2.89-3.09
Pt  0.7500  0.3396  0.3570  1 Pb 2.81, 5 Pm 2.89-3.09
Pt  0.7500  0.6430  0.9825  1 Pb 2.81, 5 Pm 2.89-3.09
Pt  0.7500  0.0175  0.6604  1 Pb 2.81, 5 Pm 2.89-3.09
Pb  0.2500  0.6667  0.3333  3 Pt 2.81
Pb  0.7500  0.3333  0.6667  3 Pt 2.81

---

No. 2
The following is a GGA-PBE calculation of a relaxed HfCuPt crystal, from the Alexandria database.

Calculated values
The calculation puts the energy above the lowest structure with this stoichiometry at 156 meV/atom. As for the space-group type: P-6m2. For the total energy, the calculation gives -7.3060 eV/atom. The calculation puts the density at 14.85 g cm⁻³. The formation energy comes out at -0.61 eV per atom.

Cell: 2.8865 4.4224 4.4224 Å, 120.00 90.00 90.00°
Closest atoms and distances in Å follow each position.
Fractional coordinates of all 3 atoms:
Hf  0.6666  0.3333  0.6667  2 Hf 2.89, 6 Pt 2.93, 6 Cu 2.93
Cu  0.1666  0.6667  0.3333  3 Pt 2.55
Pt  0.1668  0.0000  0.0000  3 Cu 2.55

---

No. 3
The following is a GGA-PBE calculation of a relaxed BaAgH6Pd crystal, from the Alexandria database.

Calculated values
As for the space-group type: P-6m2. For the total energy, the calculation gives -3.5406 eV/atom. The calculation puts the density at 5.63 g cm⁻³.

Cell: 5.0183 5.0183 4.8343 Å, 90.00 90.00 60.00°
Closest atoms and distances in Å follow each position.
Fractional coordinates of all 9 atoms:
Ba  0.0000  0.0000  0.0000  12 H 2.82
Ag  0.6666  0.6667  0.5000  6 H 1.93
H  0.0258  0.4873  0.2664  1 Pd 1.75, 1 Ag 1.93
H  0.4873  0.0259  0.7336  1 Pd 1.75, 1 Ag 1.93
H  0.4868  0.4873  0.7336  1 Pd 1.75, 1 Ag 1.93
H  0.0258  0.4868  0.7336  1 Pd 1.75, 1 Ag 1.93
H  0.4873  0.4868  0.2664  1 Pd 1.75, 1 Ag 1.93
H  0.4868  0.0259  0.2664  1 Pd 1.75, 1 Ag 1.93
Pd  0.3333  0.3333  0.5000  6 H 1.75

---

No. 4
The following is a GGA-PBE calculation of a relaxed Zn2SbRh crystal, from the Alexandria database.

Calculated values
The uncorrected formation energy comes out at 6 meV per atom. As for the space-group type: F-43m. For the total energy, the calculation gives -3.4993 eV/atom. The calculation puts the density at 8.69 g cm⁻³.

Cell: 4.5806 4.5806 4.5806 Å, 60.00 60.00 60.00°
Closest atoms and distances in Å follow each position.
Fractional coordinates of all 4 atoms:
Rh  0.5000  0.5000  0.5000  4 Sb 2.81, 4 Zn 2.81
Sb  0.2500  0.2500  0.2500  4 Rh 2.81, 4 Zn 2.81
Zn  0.0000  0.0000  0.0000  4 Zn 2.81, 4 Sb 2.81
Zn  0.7500  0.7500  0.7500  4 Zn 2.81, 4 Rh 2.81

---

No. 5
The following is a GGA-PBE calculation of a relaxed Sc2UNi9 crystal, from the Alexandria database.

Calculated values
As for the space-group type: R-3m. For the total energy, the calculation gives -6.7190 eV/atom. The calculation puts the density at 8.79 g cm⁻³. The formation energy comes out at -0.39 eV per atom.

Cell: 4.8416 4.8416 8.4406 Å, 73.33 73.33 60.00°
Closest atoms and distances in Å follow each position.
Fractional coordinates of all 12 atoms:
Sc  0.8586  0.8586  0.4241  12 Ni 2.78-2.92, 3 Sc 3.05
Sc  0.1414  0.1414  0.5759  12 Ni 2.78-2.92, 3 Sc 3.05
U  0.0000  0.0000  0.0000  6 Ni 2.80
Ni  0.6665  0.6665  0.0004  6 Ni 2.45-2.46
Ni  0.3335  0.3335  0.9996  6 Ni 2.45-2.46
Ni  0.5000  0.5000  0.5000  6 Ni 2.42
Ni  0.4144  0.4144  0.2533  7 Ni 2.40-2.46
Ni  0.9179  0.4144  0.2533  7 Ni 2.40-2.46
Ni  0.4144  0.9179  0.2533  7 Ni 2.40-2.46
Ni  0.5856  0.5856  0.7467  7 Ni 2.40-2.46
Ni  0.5856  0.0821  0.7467  7 Ni 2.40-2.46
Ni  0.0821  0.5856  0.7467  7 Ni 2.40-2.46

---

No. 6
The following is a GGA-PBE calculation of a relaxed P2OsSe crystal, from the Alexandria database.

Calculated values
The uncorrected formation energy comes out at 66 meV per atom. As for the space-group type: Cm. For the total energy, the calculation gives -6.3171 eV/atom. The calculation puts the density at 7.03 g cm⁻³.

Cell: 7.1787 2.9954 8.1941 Å, 90.00 117.37 90.00°
Closest atoms and distances in Å follow each position.
Fractional coordinates of all 8 atoms:
P  0.9941  0.0000  0.1150  1 Se 2.35, 3 Os 2.35-2.39
P  0.9941  0.5000  0.6150  1 Se 2.35, 3 Os 2.35-2.39
P  0.3450  0.0000  0.4584  2 Os 2.32
P  0.3450  0.5000  0.9584  2 Os 2.32
Os  0.0667  0.0000  0.8581  5 P 2.32-2.39
Os  0.0667  0.5000  0.3581  5 P 2.32-2.39
Se  0.6840  0.0000  0.8351  1 P 2.35
Se  0.6840  0.5000  0.3351  1 P 2.35